Mg2SbSe | the Alexandria database | GGA-PBE | optimized geometry; E = -12.14 eV/f.u.; energy above the lowest structure with this stoichiometry = 1.49 eV/f.u.; magnetic moment = 0.000 μB/cell; SG = Pmmm
1.0
3.299 0.000 0.000
0.000 5.198 0.000
0.000 0.000 5.288
Mg Sb Se
2 1 1
Direct
0.000 0.000 0.000
0.000 0.500 0.500
0.500 0.000 0.500
0.500 0.500 0.000